# 1
A relaxed YMgSc2Cl crystal, computed with PBE.

```
data_YMgSc2Cl
_chemical_formula_sum 'Y1 Mg1 Sc2 Cl1'
_cell_length_a 4.8654
_cell_length_b 4.8654
_cell_length_c 5.1728
_cell_angle_alpha 90.00
_cell_angle_beta 90.00
_cell_angle_gamma 90.00
_symmetry_space_group_name_H-M 'P 4/m m m'
_symmetry_Int_Tables_number 123
_symmetry_space_group_name_Hall '-P 4 2'
loop_
_atom_site_label
_atom_site_fract_x
_atom_site_fract_y
_atom_site_fract_z
_atom_site_occupancy
Y1 0.0000 0.0000 0.0000 1
Mg1 0.5000 0.5000 0.0000 1
Sc1 0.0000 0.5000 0.5000 1
Cl1 0.0000 0.0000 0.5000 1
```

Values from the calculation:
Crystal system: tetragonal
Final energy (eV per atom): -4.908


# 2
A relaxed CuSbCl crystal, computed with PBE.

```
data_CuSbCl
_chemical_formula_sum 'Cu2 Sb2 Cl2'
_cell_length_a 3.1835
_cell_length_b 3.1835
_cell_length_c 12.7597
_cell_angle_alpha 90.00
_cell_angle_beta 90.00
_cell_angle_gamma 90.00
_symmetry_space_group_name_H-M 'I 4 m m'
_symmetry_Int_Tables_number 107
_symmetry_space_group_name_Hall 'I 4 -2'
loop_
_atom_site_label
_atom_site_fract_x
_atom_site_fract_y
_atom_site_fract_z
_atom_site_occupancy
Cu1 0.0000 0.0000 0.0000 1
Sb1 0.0000 0.0000 0.3568 1
Cl1 0.0000 0.0000 0.6108 1
```

Values from the calculation:
Crystal system: tetragonal
Energy relative to the lowest polymorph listed for this composition (meV per atom): 177


# 3
A relaxed KC2 crystal, computed with PBE.

```
data_KC2
_chemical_formula_sum 'K4 C8'
_cell_length_a 5.6054
_cell_length_b 5.6054
_cell_length_c 7.9838
_cell_angle_alpha 90.00
_cell_angle_beta 90.00
_cell_angle_gamma 90.00
_symmetry_space_group_name_H-M 'I 4/m c m'
_symmetry_Int_Tables_number 140
_symmetry_space_group_name_Hall '-I 4 2c'
loop_
_atom_site_label
_atom_site_fract_x
_atom_site_fract_y
_atom_site_fract_z
_atom_site_occupancy
K1 0.0000 0.0000 0.2500 1
C1 0.0801 0.4199 0.0000 1
```

Values from the calculation:
Crystal system: tetragonal
Energy relative to the lowest polymorph listed for this composition (meV per atom): 815
ΔE_f (meV per atom): 1319.8


# 4
A relaxed HoPaS3 crystal, computed with PBE.

```
data_HoPaS3
_chemical_formula_sum 'Ho6 Pa6 S18'
_cell_length_a 6.6058
_cell_length_b 6.6058
_cell_length_c 20.3801
_cell_angle_alpha 90.00
_cell_angle_beta 90.00
_cell_angle_gamma 120.00
_symmetry_space_group_name_H-M 'R 3 2'
_symmetry_Int_Tables_number 155
_symmetry_space_group_name_Hall 'R 3 2"'
loop_
_atom_site_label
_atom_site_fract_x
_atom_site_fract_y
_atom_site_fract_z
_atom_site_occupancy
Ho1 0.0000 0.0000 0.1565 1
Pa1 0.0000 0.0000 0.3433 1
S1 0.0021 0.3049 0.7511 1
```

Values from the calculation:
Crystal system: trigonal
Energy relative to the lowest polymorph listed for this composition (meV per atom): 223


# 5
A relaxed Li2HfGeH crystal, computed with PBE.

```
data_Li2HfGeH
_chemical_formula_sum 'Li2 Hf1 Ge1 H1'
_cell_length_a 3.9123
_cell_length_b 3.9123
_cell_length_c 4.3268
_cell_angle_alpha 90.00
_cell_angle_beta 90.00
_cell_angle_gamma 90.00
_symmetry_space_group_name_H-M 'P 4/m m m'
_symmetry_Int_Tables_number 123
_symmetry_space_group_name_Hall '-P 4 2'
loop_
_atom_site_label
_atom_site_fract_x
_atom_site_fract_y
_atom_site_fract_z
_atom_site_occupancy
Li1 0.0000 0.5000 0.0000 1
Hf1 0.0000 0.0000 0.5000 1
Ge1 0.5000 0.5000 0.5000 1
H1 0.0000 0.0000 0.0000 1
```

Values from the calculation:
Crystal system: tetragonal
Final energy (eV per atom): -4.744


# 6
A relaxed SrScSi2O6 crystal, computed with PBE.

```
data_SrScSi2O6
_chemical_formula_sum 'Sr3 Sc3 Si6 O18'
_cell_length_a 5.3439
_cell_length_b 5.3439
_cell_length_c 17.4815
_cell_angle_alpha 90.00
_cell_angle_beta 90.00
_cell_angle_gamma 120.00
_symmetry_space_group_name_H-M 'R -3'
_symmetry_Int_Tables_number 148
_symmetry_space_group_name_Hall '-R 3'
loop_
_atom_site_label
_atom_site_fract_x
_atom_site_fract_y
_atom_site_fract_z
_atom_site_occupancy
Sr1 0.0000 0.0000 0.0000 1
Sc1 0.0000 0.0000 0.5000 1
Si1 0.0000 0.0000 0.2469 1
O1 0.0175 0.3845 0.9041 1
```

Values from the calculation:
Crystal system: trigonal
Final energy (eV per atom): -7.502